Below is an optimized crystal structure of MgBe12, with properties calculated at the PBE level.

Unit cell a=5.6762 b=5.6762 c=5.6762 alpha=97.79 beta=97.79 gamma=136.80
Fractional coordinates of all 13 atoms:
Mg: 0.0000 0.0000 0.0000
Be: 0.0000 0.0000 0.5000
Be: 0.0000 0.3544 0.3544
Be: 0.0000 0.5000 0.0000
Be: 0.0000 0.6456 0.6456
Be: 0.2730 0.5000 0.7730
Be: 0.3544 0.0000 0.3544
Be: 0.5000 0.0000 0.0000
Be: 0.5000 0.2730 0.7730
Be: 0.5000 0.5000 0.5000
Be: 0.5000 0.7270 0.2270
Be: 0.6456 0.0000 0.6456
Be: 0.7270 0.5000 0.2270

Output
ΔE_f = 0.056 eV/atom
Magnetization = 0.0 μB/cell
Theoretical density = 1.9 g/cm³
Space group = No. 139

***

Below is an optimized crystal structure of NaIn4Pt4, with properties calculated at the PBE level.

Unit cell a=8.9995 b=8.9995 c=5.3931 alpha=90.00 beta=90.00 gamma=90.00
Fractional coordinates of all 18 atoms:
Na: 0.2500 0.2500 0.2500
Na: 0.7500 0.7500 0.7500
In: 0.1065 0.6265 0.1538
In: 0.1265 0.8935 0.6538
In: 0.3735 0.6065 0.6538
In: 0.3935 0.8735 0.1538
In: 0.6065 0.1265 0.8462
In: 0.6265 0.3935 0.3462
In: 0.8735 0.1065 0.3462
In: 0.8935 0.3735 0.8462
Pt: 0.0710 0.5928 0.6587
Pt: 0.0928 0.9290 0.1587
Pt: 0.4072 0.5710 0.1587
Pt: 0.4290 0.9072 0.6587
Pt: 0.5710 0.0928 0.3413
Pt: 0.5928 0.4290 0.8413
Pt: 0.9072 0.0710 0.8413
Pt: 0.9290 0.4072 0.3413

Output
ΔE_f = -0.348 eV/atom
Magnetization = 0.0 μB/cell
Theoretical density = 9.6 g/cm³
Space group = No. 86

***

Below is an optimized crystal structure of ScRuW2, with properties calculated at the PBE level.

Unit cell a=2.8109 b=2.8109 c=8.8675 alpha=90.00 beta=90.00 gamma=110.07
Fractional coordinates of all 4 atoms:
Sc: 0.0000 0.0000 0.0000
Ru: 0.5000 0.5000 0.2408
W: 0.0000 0.0000 0.4772
W: 0.5000 0.5000 0.7245

Output
ΔE_f = 0.082 eV/atom
Magnetization = 0.0 μB/cell
Theoretical density = 13.0 g/cm³
Space group = No. 35

***

Below is an optimized crystal structure of K4Tl3Sb2, with properties calculated at the PBE level.

Unit cell a=10.3030 b=10.3030 c=7.3113 alpha=101.77 beta=101.77 gamma=28.00
Fractional coordinates of all 9 atoms:
K: 0.0628 0.0628 0.3477
K: 0.2835 0.2835 0.7935
K: 0.7165 0.7165 0.2065
K: 0.9372 0.9372 0.6523
Tl: 0.3703 0.3703 0.3314
Tl: 0.5000 0.5000 0.0000
Tl: 0.6297 0.6297 0.6686
Sb: 0.1151 0.1151 0.9090
Sb: 0.8849 0.8849 0.0910

Output
Formation energy without anion corrections = -0.240 eV/atom
Magnetization = 0.0 μB/cell
Theoretical density = 4.7 g/cm³
Space group = No. 12

***

Below is an optimized crystal structure of Pm2NdTm4Th, with properties calculated at the PBE level.

Unit cell a=5.0916 b=5.0922 c=9.8678 alpha=90.00 beta=90.01 gamma=90.00
Fractional coordinates of all 8 atoms:
Pm: 0.0000 0.0000 0.0000
Pm: 0.5000 0.5000 0.5000
Nd: 0.0000 0.0000 0.5000
Tm: 0.0007 0.5000 0.2457
Tm: 0.4986 0.0000 0.7548
Tm: 0.5014 0.0000 0.2452
Tm: 0.9993 0.5000 0.7543
Th: 0.5000 0.5000 0.0000

Output
ΔE_f = 0.027 eV/atom
Magnetization = 0.0 μB/cell
Theoretical density = 8.7 g/cm³
Space group = No. 10

***

Below is an optimized crystal structure of Ac3CeN, with properties calculated at the PBE level.

Unit cell a=5.4323 b=5.4323 c=5.4323 alpha=90.00 beta=90.00 gamma=90.00
Fractional coordinates of all 5 atoms:
Ac: 0.0000 0.0000 0.5000
Ac: 0.0000 0.5000 0.0000
Ac: 0.5000 0.0000 0.0000
Ce: 0.5000 0.5000 0.5000
N: 0.0000 0.0000 0.0000

Output
Formation energy without anion corrections = -0.290 eV/atom
Magnetization = 1.6 μB/cell
Theoretical density = 8.7 g/cm³
Space group = No. 221

***

Below is an optimized crystal structure of AsPtPb2, with properties calculated at the PBE level.

Unit cell a=7.8221 b=7.8221 c=7.8221 alpha=131.72 beta=131.72 gamma=70.67
Fractional coordinates of all 8 atoms:
As: 0.0000 0.0000 0.0000
As: 0.7500 0.2500 0.5000
Pt: 0.2500 0.7500 0.5000
Pt: 0.5000 0.5000 0.0000
Pb: 0.1433 0.6250 0.0183
Pb: 0.3750 0.3933 0.5183
Pb: 0.6067 0.1250 0.9817
Pb: 0.8750 0.8567 0.4817

Output
ΔE_f = 0.114 eV/atom
Magnetization = 0.0 μB/cell
Theoretical density = 8.7 g/cm³
Space group = No. 122

***

Below is an optimized crystal structure of MgRe2B, with properties calculated at the PBE level.

Unit cell a=9.0688 b=9.0688 c=9.0688 alpha=155.94 beta=155.94 gamma=34.29
Fractional coordinates of all 8 atoms:
Mg: 0.0000 0.0000 0.0000
Mg: 0.7500 0.2500 0.5000
Re: 0.1867 0.6250 0.0617
Re: 0.3750 0.4367 0.5617
Re: 0.5633 0.1250 0.9383
Re: 0.8750 0.8133 0.4383
B: 0.2500 0.7500 0.5000
B: 0.5000 0.5000 0.0000

Output
ΔE_f = 0.950 eV/atom
Magnetization = 0.0 μB/cell
Theoretical density = 10.9 g/cm³
Space group = No. 122

***

Below is an optimized crystal structure of LiNF, with properties calculated at the PBE level.

Unit cell a=2.9055 b=2.9055 c=8.3402 alpha=99.86 beta=99.86 gamma=90.01
Fractional coordinates of all 6 atoms:
Li: 0.1912 0.1912 0.3800
Li: 0.8088 0.8088 0.6200
N: 0.0352 0.0352 0.0687
N: 0.9648 0.9648 0.9313
F: 0.3129 0.3129 0.6281
F: 0.6871 0.6871 0.3719

Output
Formation energy without anion corrections = -1.874 eV/atom
Magnetization = 0.0 μB/cell
Theoretical density = 1.9 g/cm³
Space group = No. 12

***

Below is an optimized crystal structure of DyEr2, with properties calculated at the PBE level.

Unit cell a=6.2124 b=6.2124 c=6.6304 alpha=117.93 beta=117.93 gamma=59.98
Fractional coordinates of all 6 atoms:
Dy: 0.0842 0.9158 0.7500
Dy: 0.9158 0.0842 0.2500
Er: 0.2504 0.4166 0.2497
Er: 0.4166 0.2504 0.7497
Er: 0.5834 0.7496 0.2503
Er: 0.7496 0.5834 0.7503

Output
ΔE_f = 0.003 eV/atom
Magnetization = 0.0 μB/cell
Theoretical density = 8.9 g/cm³
Space group = No. 15

***

Below is an optimized crystal structure of Si3Se, with properties calculated at the PBE level.

Unit cell a=5.0108 b=7.4817 c=3.8709 alpha=90.00 beta=90.00 gamma=90.00
Fractional coordinates of all 8 atoms:
Si: 0.2500 0.0275 0.0508
Si: 0.2500 0.2500 0.5109
Si: 0.2500 0.4725 0.0508
Si: 0.7500 0.5275 0.9492
Si: 0.7500 0.7500 0.4891
Si: 0.7500 0.9725 0.9492
Se: 0.2500 0.7500 0.4088
Se: 0.7500 0.2500 0.5912

Output
Formation energy without anion corrections = 0.148 eV/atom
Magnetization = 0.0 μB/cell
Theoretical density = 3.7 g/cm³
Space group = No. 59

***

Below is an optimized crystal structure of CaRhSe2Br, with properties calculated at the PBE level.

Unit cell a=4.9660 b=4.9660 c=5.0606 alpha=90.00 beta=90.00 gamma=90.00
Fractional coordinates of all 5 atoms:
Ca: 0.0000 0.0000 0.0000
Rh: 0.5000 0.5000 0.5000
Se: 0.0000 0.5000 0.5000
Se: 0.5000 0.0000 0.5000
Br: 0.5000 0.5000 0.0000

Output
Formation energy without anion corrections = -0.590 eV/atom
Magnetization = 0.0 μB/cell
Theoretical density = 5.1 g/cm³
Space group = No. 123

***

Below is an optimized crystal structure of TbTcSb3, with properties calculated at the PBE level.

Unit cell a=12.5489 b=6.2079 c=6.1529 alpha=90.00 beta=90.00 gamma=90.00
Fractional coordinates of all 20 atoms:
Tb: 0.1934 0.0076 0.2500
Tb: 0.1934 0.4924 0.7500
Tb: 0.8066 0.5076 0.2500
Tb: 0.8066 0.9924 0.7500
Tc: 0.3941 0.2500 0.0000
Tc: 0.3941 0.2500 0.5000
Tc: 0.6059 0.7500 0.0000
Tc: 0.6059 0.7500 0.5000
Sb: 0.0014 0.2500 0.0000
Sb: 0.0014 0.2500 0.5000
Sb: 0.2761 0.5181 0.2500
Sb: 0.2761 0.9819 0.7500
Sb: 0.4401 0.6018 0.7500
Sb: 0.4401 0.8982 0.2500
Sb: 0.5599 0.1018 0.7500
Sb: 0.5599 0.3982 0.2500
Sb: 0.7239 0.0181 0.2500
Sb: 0.7239 0.4819 0.7500
Sb: 0.9986 0.7500 0.0000
Sb: 0.9986 0.7500 0.5000

Output
Formation energy without anion corrections = -0.487 eV/atom
Magnetization = 0.0 μB/cell
Theoretical density = 8.6 g/cm³
Space group = No. 57

***

Below is an optimized crystal structure of PrZrAg, with properties calculated at the PBE level.

Unit cell a=3.8633 b=3.8633 c=10.4327 alpha=90.00 beta=90.00 gamma=90.00
Fractional coordinates of all 6 atoms:
Pr: 0.2500 0.2500 0.2366
Pr: 0.7500 0.7500 0.7634
Zr: 0.2500 0.2500 0.5576
Zr: 0.7500 0.7500 0.4424
Ag: 0.2500 0.2500 0.9298
Ag: 0.7500 0.7500 0.0702

Output
ΔE_f = -0.041 eV/atom
Magnetization = 0.0 μB/cell
Theoretical density = 7.3 g/cm³
Space group = No. 129

***

Below is an optimized crystal structure of ZrAsPS2, with properties calculated at the PBE level.

Unit cell a=4.8721 b=4.8721 c=5.2393 alpha=90.00 beta=90.00 gamma=90.00
Fractional coordinates of all 5 atoms:
Zr: 0.0000 0.0000 0.0000
As: 0.5000 0.5000 0.5000
P: 0.0000 0.0000 0.5000
S: 0.0000 0.5000 0.0000
S: 0.5000 0.0000 0.0000

Output
Formation energy without anion corrections = 0.187 eV/atom
Magnetization = 0.0 μB/cell
Theoretical density = 3.5 g/cm³
Space group = No. 123

***

Below is an optimized crystal structure of LaVSb3, with properties calculated at the PBE level.

Unit cell a=5.1923 b=5.1923 c=5.1923 alpha=90.00 beta=90.00 gamma=90.00
Fractional coordinates of all 5 atoms:
La: 0.0000 0.0000 0.0000
V: 0.5000 0.5000 0.5000
Sb: 0.0000 0.5000 0.5000
Sb: 0.5000 0.0000 0.5000
Sb: 0.5000 0.5000 0.0000

Output
Formation energy without anion corrections = -0.191 eV/atom
Magnetization = 0.6 μB/cell
Theoretical density = 6.6 g/cm³
Space group = No. 221

***

Below is an optimized crystal structure of RbAsF4, with properties calculated at the PBE level.

Unit cell a=4.4072 b=4.8053 c=6.0803 alpha=81.95 beta=79.97 gamma=66.09
Fractional coordinates of all 6 atoms:
Rb: 0.0000 0.0000 0.0000
As: 0.4603 0.4925 0.5073
F: 0.3770 0.3682 0.8241
F: 0.5605 0.7750 0.6071
F: 0.6150 0.6308 0.2064
F: 0.8782 0.2002 0.5029

Output
Formation energy without anion corrections = -2.421 eV/atom
Magnetization = 0.0 μB/cell
Theoretical density = 3.4 g/cm³
Space group = No. 1

***

Below is an optimized crystal structure of TbPr5SmHo2, with properties calculated at the PBE level.

Unit cell a=10.6792 b=10.6792 c=10.7801 alpha=90.00 beta=90.00 gamma=149.05
Fractional coordinates of all 18 atoms:
Tb: 0.0907 0.9093 0.5000
Tb: 0.9093 0.0907 0.0000
Pr: 0.0190 0.9810 0.7844
Pr: 0.1120 0.8880 0.0649
Pr: 0.2043 0.7957 0.7448
Pr: 0.2195 0.7805 0.3518
Pr: 0.4843 0.5157 0.0606
Pr: 0.5157 0.4843 0.5606
Pr: 0.7805 0.2195 0.8518
Pr: 0.7957 0.2043 0.2448
Pr: 0.8880 0.1120 0.5649
Pr: 0.9810 0.0190 0.2844
Sm: 0.3004 0.6996 0.0506
Sm: 0.6996 0.3004 0.5506
Ho: 0.3840 0.6160 0.3545
Ho: 0.3887 0.6113 0.7796
Ho: 0.6113 0.3887 0.2796
Ho: 0.6160 0.3840 0.8545

Output
ΔE_f = 0.143 eV/atom
Magnetization = 0.0 μB/cell
Theoretical density = 7.1 g/cm³
Space group = No. 36

***

Below is an optimized crystal structure of La3RuAu, with properties calculated at the PBE level.

Unit cell a=7.8004 b=7.8004 c=11.8440 alpha=123.37 beta=123.37 gamma=31.98
Fractional coordinates of all 10 atoms:
La: 0.0372 0.0372 0.1936
La: 0.2752 0.2752 0.8791
La: 0.3432 0.3432 0.4576
La: 0.6568 0.6568 0.5424
La: 0.7248 0.7248 0.1209
La: 0.9628 0.9628 0.8064
Ru: 0.3155 0.3155 0.6918
Ru: 0.6845 0.6845 0.3082
Au: 0.4105 0.4105 0.2425
Au: 0.5895 0.5895 0.7575

Output
ΔE_f = -0.462 eV/atom
Magnetization = 0.0 μB/cell
Theoretical density = 7.6 g/cm³
Space group = No. 12

***

Below is an optimized crystal structure of Sr7Tl2Ag2, with properties calculated at the PBE level.

Unit cell a=7.6815 b=7.6815 c=8.1146 alpha=90.00 beta=90.00 gamma=109.32
Fractional coordinates of all 11 atoms:
Sr: 0.0000 0.0000 0.0000
Sr: 0.0000 0.5000 0.2677
Sr: 0.0000 0.5000 0.7323
Sr: 0.5000 0.0000 0.2677
Sr: 0.5000 0.0000 0.7323
Sr: 0.5000 0.5000 0.2528
Sr: 0.5000 0.5000 0.7472
Tl: 0.1722 0.1722 0.5000
Tl: 0.8278 0.8278 0.5000
Ag: 0.2937 0.7063 0.0000
Ag: 0.7063 0.2937 0.0000

Output
ΔE_f = -0.159 eV/atom
Magnetization = 0.0 μB/cell
Theoretical density = 4.5 g/cm³
Space group = No. 65

***

Below is an optimized crystal structure of TbCd3Ni, with properties calculated at the PBE level.

Unit cell a=5.3911 b=5.7489 c=6.8122 alpha=90.00 beta=92.88 gamma=90.00
Fractional coordinates of all 10 atoms:
Tb: 0.1445 0.2500 0.3839
Tb: 0.8555 0.7500 0.6161
Cd: 0.0954 0.7500 0.1117
Cd: 0.3748 0.0019 0.7953
Cd: 0.3748 0.4981 0.7953
Cd: 0.6252 0.5019 0.2047
Cd: 0.6252 0.9981 0.2047
Cd: 0.9046 0.2500 0.8883
Ni: 0.3400 0.7500 0.4616
Ni: 0.6600 0.2500 0.5384

Output
ΔE_f = -0.243 eV/atom
Magnetization = 0.0 μB/cell
Theoretical density = 8.7 g/cm³
Space group = No. 11

***

Below is an optimized crystal structure of Pm3MnGe3, with properties calculated at the PBE level.

Unit cell a=6.8776 b=6.8776 c=7.6807 alpha=98.71 beta=98.71 gamma=107.04
Fractional coordinates of all 14 atoms:
Pm: 0.1572 0.8428 0.0000
Pm: 0.2691 0.7309 0.5000
Pm: 0.4007 0.4007 0.1312
Pm: 0.5993 0.5993 0.8688
Pm: 0.7309 0.2691 0.5000
Pm: 0.8428 0.1572 0.0000
Mn: 0.1241 0.1241 0.6530
Mn: 0.8759 0.8759 0.3470
Ge: 0.1201 0.4534 0.7886
Ge: 0.1732 0.1732 0.3592
Ge: 0.4534 0.1201 0.7886
Ge: 0.5466 0.8799 0.2114
Ge: 0.8268 0.8268 0.6408
Ge: 0.8799 0.5466 0.2114

Output
ΔE_f = -0.508 eV/atom
Magnetization = 4.0 μB/cell
Theoretical density = 7.0 g/cm³
Space group = No. 12

***

Below is an optimized crystal structure of TaSn3Au, with properties calculated at the PBE level.

Unit cell a=5.3737 b=5.3737 c=5.3737 alpha=90.00 beta=90.00 gamma=90.00
Fractional coordinates of all 5 atoms:
Ta: 0.0000 0.0000 0.0000
Sn: 0.0000 0.0000 0.5000
Sn: 0.0000 0.5000 0.0000
Sn: 0.5000 0.0000 0.0000
Au: 0.5000 0.5000 0.5000

Output
ΔE_f = 0.576 eV/atom
Magnetization = 0.0 μB/cell
Theoretical density = 7.9 g/cm³
Space group = No. 221